(1)
Material: TaCrCd2
Method: DFT, PBE
State: relaxed

POSCAR file:
```
TaCrCd2
1.0
-0.4884 3.1633 -0.5284
-2.9589 -0.6506 -1.1601
-2.6711 0.6634 6.4405
Cd Cr Ta
2 1 1
direct
0.0000 0.0000 0.9898
0.5000 0.5000 0.2722
0.0000 0.0000 0.5392
0.5000 0.5000 0.6988
```

Summary:
- total energy (eV/atom) = -5.5409
- space-group type = No. 99
- theoretical density (g/cm³) = 10.3
- magnetic moment (μB/cell) = 0.7



(2)
Material: NdH5Ru
Method: DFT, PBE
State: relaxed

POSCAR file:
```
NdH5Ru
1.0
-1.4580 -4.1462 1.4726
1.6307 -3.5449 -2.5019
5.1943 -3.8237 3.4582
Nd H Ru
2 10 2
direct
0.5000 0.5000 0.7500
0.5000 0.5000 0.2500
0.4151 0.9180 0.9171
0.4151 0.9178 0.4168
0.9180 0.4151 0.4171
0.0001 0.9999 0.7500
0.0822 0.5849 0.0832
0.9178 0.4151 0.9168
0.9999 0.0001 0.2500
0.0820 0.5849 0.5829
0.5849 0.0822 0.5832
0.5849 0.0820 0.0829
0.0000 0.0000 0.0000
0.0000 0.0000 0.5000
```

Summary:
- total energy (eV/atom) = -4.7515
- space-group type = No. 71
- theoretical density (g/cm³) = 6.5
- magnetic moment (μB/cell) = 0.0



(3)
Material: TbSmPS
Method: DFT, PBE
State: relaxed

POSCAR file:
```
TbSmPS
1.0
4.0179 0.0000 0.0000
2.0090 3.4796 0.0000
2.0090 1.1599 6.5975
Tb Sm P S
1 1 1 1
direct
0.1969 0.1969 0.4092
0.6912 0.6912 0.9263
0.9422 0.9422 0.1734
0.4461 0.4461 0.6618
```

Summary:
- space-group type = No. 160
- theoretical density (g/cm³) = 6.7
- raw formation energy (meV per atom) = -1869.0
- magnetic moment (μB/cell) = 0.0